No. 1
The following is a PBE-GGA calculation of crystalline IrAu3 at its relaxed geometry, from Alexandria.

Lattice parameters (Å, degrees): 2.844 2.844 8.471 90.00 90.00 90.00
Space group P4/mmm (No. 123)
Asymmetric unit:
Ir: 0.000 0.000 0.000 (multiplicity 1)
Au: 0.000 0.000 0.500 (multiplicity 1)
Au: 0.500 0.500 0.240 (multiplicity 2)

Calculated values
Final energy (eV per atom): -4.40

No. 2
The following is a PBE-GGA calculation of crystalline SmZn2Cd2 at its relaxed geometry, from Alexandria.

Lattice parameters (Å, degrees): 4.317 4.317 11.638 90.00 90.00 90.00
Space group I4/mmm (No. 139)
Asymmetric unit:
Sm: 0.000 0.000 0.000 (multiplicity 2)
Zn: 0.000 0.000 0.396 (multiplicity 4)
Cd: 0.000 0.500 0.250 (multiplicity 4)

Calculated values
Final energy (eV per atom): -2.08

No. 3
The following is a PBE-GGA calculation of crystalline LiLaAg2 at its relaxed geometry, from Alexandria.

Lattice parameters (Å, degrees): 8.097 4.674 5.667 90.00 118.34 90.00
Space group C2/m (No. 12)
Asymmetric unit:
Li: 0.000 0.000 0.000 (multiplicity 2)
La: 0.000 0.500 0.500 (multiplicity 2)
Ag: 0.212 0.500 0.136 (multiplicity 4)

Calculated values
Final energy (eV per atom): -3.37

No. 4
The following is a PBE-GGA calculation of crystalline SrPmSn2 at its relaxed geometry, from Alexandria.

Lattice parameters (Å, degrees): 3.595 3.595 9.301 90.00 90.00 90.00
Space group P4/mmm (No. 123)
Asymmetric unit:
Sr: 0.000 0.000 0.000 (multiplicity 1)
Pm: 0.000 0.000 0.500 (multiplicity 1)
Sn: 0.500 0.500 0.260 (multiplicity 2)

Calculated values
Final energy (eV per atom): -4.24

No. 5
The following is a PBE-GGA calculation of crystalline CdP2C at its relaxed geometry, from Alexandria.

Lattice parameters (Å, degrees): 6.286 6.286 6.286 90.00 90.00 90.00
Space group Fm-3m (No. 225)
Asymmetric unit:
Cd: 0.000 0.000 0.000 (multiplicity 4)
P: 0.250 0.250 0.250 (multiplicity 8)
C: 0.000 0.000 0.500 (multiplicity 4)

Calculated values
Energy above the lowest structure with this stoichiometry (meV/atom): 1311
Final energy (eV per atom): -3.47

No. 6
The following is a PBE-GGA calculation of crystalline SrMgIn2 at its relaxed geometry, from Alexandria.

Lattice parameters (Å, degrees): 3.905 3.905 7.792 90.00 90.00 90.00
Space group P4mm (No. 99)
Asymmetric unit:
Sr: 0.000 0.000 0.000 (multiplicity 1)
Mg: 0.500 0.500 0.693 (multiplicity 1)
In: 0.000 0.000 0.501 (multiplicity 1)
In: 0.500 0.500 0.286 (multiplicity 1)

Calculated values
Final energy (eV per atom): -2.36

Calculated density for every record listed, in sequence, given in g/cm3: 18.97, 7.75, 6.36, 6.49, 4.98, 4.77.
Energy of formation for every record listed, in sequence, given in eV per formula unit: 1.11, -1.30, -0.94, -2.53, 7.09, -0.71.